# MnPb2O, relaxed, DFT PBE+U
data_MnPb2O
_cell_length_a 7.5096
_cell_length_b 7.5096
_cell_length_c 6.6709
_cell_angle_alpha 90.00
_cell_angle_beta 90.00
_cell_angle_gamma 90.00
_space_group_name_H-M_alt 'I -4 2 d'
_space_group_IT_number 122
_space_group_name_Hall 'I -4 2bw'
loop_
_atom_site_label
_atom_site_type_symbol
_atom_site_fract_x
_atom_site_fract_y
_atom_site_fract_z
Mn1 Mn 0.0000 0.0000 0.0000
Pb1 Pb 0.1757 0.7500 0.6250
O1 O 0.0000 0.0000 0.5000
# - Final energy: -4.9621 eV per atom
# - Crystal system: tetragonal
# - Total magnetic moment: 4.996 μB/f.u.